No. 1
{"formula": "Mg3MnSn", "functional": "PBE-GGA", "state": "relaxed", "delta_e_f_mev_per_atom": 708, "polymorph_energy_mev_per_atom": 132, "sg": "Pm-3m (221)", "lattice_angstrom": [[5.345, 0.000, 0.000], [0.000, 5.345, 0.000], [0.000, 0.000, 5.345]], "species": ["Mg", "Mg", "Mg", "Mn", "Sn"], "fractional_positions": [[0.000, 0.500, 0.000], [0.000, 0.000, 0.500], [0.500, 0.000, 0.000], [0.500, 0.500, 0.500], [0.000, 0.000, 0.000]]}

No. 2
{"formula": "Mg14MnSn", "functional": "PBE-GGA", "state": "relaxed", "delta_e_f_mev_per_atom": 25, "polymorph_energy_mev_per_atom": 2, "sg": "P-6m2 (187)", "lattice_angstrom": [[3.181, -5.509, 0.000], [3.181, 5.509, 0.000], [0.000, 0.000, 10.084]], "species": ["Mg", "Mg", "Mg", "Mg", "Mg", "Mg", "Mg", "Mg", "Mg", "Mg", "Mg", "Mg", "Mg", "Mg", "Mn", "Sn"], "fractional_positions": [[0.999, 0.500, 0.000], [0.000, 0.500, 0.500], [0.500, 0.001, 0.000], [0.500, 0.000, 0.500], [0.500, 0.500, 0.000], [0.500, 0.500, 0.500], [0.163, 0.837, 0.243], [0.163, 0.837, 0.757], [0.163, 0.327, 0.243], [0.163, 0.327, 0.757], [0.673, 0.837, 0.243], [0.673, 0.837, 0.757], [0.667, 0.333, 0.251], [0.667, 0.333, 0.749], [0.000, 0.000, 0.000], [0.000, 0.000, 0.500]]}

No. 3
{"formula": "Mg14MnSn", "functional": "PBE-GGA", "state": "relaxed", "delta_e_f_mev_per_atom": 23, "polymorph_energy_mev_per_atom": 0, "sg": "Amm2 (38)", "lattice_angstrom": [[-6.344, 0.449, -0.014], [3.137, -2.126, 5.107], [0.669, 9.569, 3.572]], "species": ["Mg", "Mg", "Mg", "Mg", "Mg", "Mg", "Mg", "Mg", "Mg", "Mg", "Mg", "Mg", "Mg", "Mg", "Mn", "Sn"], "fractional_positions": [[0.833, 0.167, 0.000], [0.333, 0.667, 0.000], [0.334, 0.166, 0.500], [0.333, 0.170, 0.000], [0.834, 0.666, 0.500], [0.830, 0.667, 0.000], [0.162, 0.328, 0.257], [0.162, 0.328, 0.743], [0.672, 0.838, 0.257], [0.672, 0.838, 0.743], [0.671, 0.329, 0.256], [0.671, 0.329, 0.744], [0.166, 0.834, 0.248], [0.166, 0.834, 0.752], [0.831, 0.169, 0.500], [0.330, 0.670, 0.500]]}

No. 4
{"formula": "Mg3MnSn", "functional": "PBE-GGA", "state": "relaxed", "delta_e_f_mev_per_atom": 577, "polymorph_energy_mev_per_atom": 0, "sg": "Pm-3m (221)", "lattice_angstrom": [[-1.474, -1.583, -4.599], [2.072, -4.552, 0.903], [-4.401, -1.613, 1.966]], "species": ["Mg", "Mg", "Mg", "Mn", "Sn"], "fractional_positions": [[0.000, 0.500, 0.000], [0.000, 0.000, 0.500], [0.500, 0.000, 0.000], [0.000, 0.000, 0.000], [0.500, 0.500, 0.500]]}

No. 5
{"formula": "SrMgMn2Sn", "functional": "PBE-GGA", "state": "relaxed", "delta_e_f_mev_per_atom": 1734, "sg": "P4/mmm (123)", "lattice_angstrom": [[4.704, 0.000, 0.000], [0.000, 5.331, 0.000], [0.000, 0.000, 4.704]], "species": ["Sr", "Mg", "Mn", "Mn", "Sn"], "fractional_positions": [[0.000, 0.000, 0.000], [0.000, 0.500, 0.000], [0.000, 0.000, 0.500], [0.500, 0.000, 0.000], [0.500, 0.500, 0.500]]}

No. 6
{"formula": "MgMnTc2Sn", "functional": "PBE-GGA", "state": "relaxed", "delta_e_f_mev_per_atom": 2179, "sg": "P4/mmm (123)", "lattice_angstrom": [[-0.400, -2.397, -4.227], [-1.145, -4.035, 2.396], [-4.720, 1.200, -0.234]], "species": ["Mg", "Mn", "Sn", "Tc", "Tc"], "fractional_positions": [[0.000, 0.500, 0.000], [0.500, 0.500, 0.500], [0.000, 0.000, 0.000], [0.000, 0.000, 0.500], [0.500, 0.000, 0.000]]}

No. 7
{"formula": "Mg2MnTlSn", "functional": "PBE-GGA", "state": "relaxed", "delta_e_f_mev_per_atom": 824, "sg": "P4/mmm (123)", "lattice_angstrom": [[5.285, 0.000, 0.000], [0.000, 5.285, 0.000], [0.000, 0.000, 5.927]], "species": ["Mg", "Mg", "Tl", "Mn", "Sn"], "fractional_positions": [[0.000, 0.500, 0.000], [0.500, 0.000, 0.000], [0.000, 0.000, 0.000], [0.500, 0.500, 0.500], [0.000, 0.000, 0.500]]}

No. 8
{"formula": "SrMg2Mn", "functional": "PBE-GGA", "state": "relaxed", "delta_e_f_mev_per_atom": 312, "sg": "C2/m (12)", "lattice_angstrom": [[-3.989, -4.949, -0.045], [-1.348, -5.775, 2.289], [-3.626, -0.164, 4.045]], "species": ["Mg", "Mg", "Mn", "Sr"], "fractional_positions": [[0.037, 0.037, 0.964], [0.463, 0.463, 0.536], [0.750, 0.750, 0.750], [0.250, 0.250, 0.250]]}

No. 9
{"formula": "SrMg2Mn", "functional": "PBE-GGA", "state": "relaxed", "delta_e_f_mev_per_atom": 446, "sg": "Cmmm (65)", "lattice_angstrom": [[-5.849, 1.125, 0.333], [1.856, -4.179, 3.832], [0.576, 2.325, 2.257]], "species": ["Mg", "Mg", "Mn", "Sr"], "fractional_positions": [[0.000, 0.000, 0.000], [0.500, 0.500, 0.000], [0.500, 0.000, 0.500], [0.000, 0.500, 0.500]]}

No. 10
{"formula": "SrMg2Mn", "functional": "PBE-GGA", "state": "relaxed", "delta_e_f_mev_per_atom": 307, "sg": "Imm2 (44)", "lattice_angstrom": [[-3.248, 2.680, -3.232], [-4.206, -2.456, 2.111], [3.425, 2.604, 3.108]], "species": ["Mg", "Mg", "Mn", "Sr"], "fractional_positions": [[0.999, 0.999, 0.000], [0.750, 0.250, 0.500], [0.501, 0.501, 0.000], [0.250, 0.750, 0.500]]}

No. 11
{"formula": "SrMg2Mn", "functional": "PBE-GGA", "state": "relaxed", "delta_e_f_mev_per_atom": 742, "sg": "Fm-3m (225)", "lattice_angstrom": [[-0.720, -0.823, 4.973], [-4.719, -0.088, 1.909], [-2.023, -4.395, 1.586]], "species": ["Sr", "Mg", "Mg", "Mn"], "fractional_positions": [[0.500, 0.500, 0.500], [0.250, 0.250, 0.250], [0.750, 0.750, 0.750], [0.000, 0.000, 0.000]]}

No. 12
{"formula": "SrMg2Mn", "functional": "PBE-GGA", "state": "relaxed", "delta_e_f_mev_per_atom": 350, "sg": "Cm (8)", "lattice_angstrom": [[-3.324, -1.756, -3.784], [0.037, -2.762, -4.562], [-1.249, -5.812, 2.119]], "species": ["Mg", "Mg", "Mn", "Sr"], "fractional_positions": [[0.012, 0.012, 0.926], [0.756, 0.756, 0.736], [0.488, 0.488, 0.575], [0.244, 0.244, 0.263]]}

Please write out number 8 again, unchanged.
{"formula": "SrMg2Mn", "functional": "PBE-GGA", "state": "relaxed", "delta_e_f_mev_per_atom": 312, "sg": "C2/m (12)", "lattice_angstrom": [[-3.989, -4.949, -0.045], [-1.348, -5.775, 2.289], [-3.626, -0.164, 4.045]], "species": ["Mg", "Mg", "Mn", "Sr"], "fractional_positions": [[0.037, 0.037, 0.964], [0.463, 0.463, 0.536], [0.750, 0.750, 0.750], [0.250, 0.250, 0.250]]}